(1)
# InTeOs2 (PBE, optimized geometry)
# Excess energy over the best structure of this formula in the dataset in eV per formula unit: 2.46
# Formation energy from raw total energies in eV per atom: 1.01
# N(E_F) in states/eV/atom: 0.896
# Size of the total moment in μB/f.u.: 0.00
# Uncorrected energy in eV for the cell shown: -48.6
data_InTeOs2
_chemical_formula_sum 'In2 Te2 Os4'
_space_group_name_H-M_alt 'I m m m'
_space_group_IT_number 71
_space_group_name_Hall '-I 2 2'
_cell_length_a 3.131
_cell_length_b 5.272
_cell_length_c 8.968
_cell_angle_alpha 90.00
_cell_angle_beta 90.00
_cell_angle_gamma 90.00
loop_
_atom_site_label
_atom_site_type_symbol
_atom_site_fract_x
_atom_site_fract_y
_atom_site_fract_z
In1 In 0.000 0.000 0.000
Te1 Te 0.000 0.000 0.500
Os1 Os 0.000 0.500 0.241

***

(2)
# Cd2SiAg (PBE, optimized geometry)
# Formation energy from raw total energies in eV per atom: 0.22
# N(E_F) in states/eV/atom: 0.217
# Size of the total moment in μB/f.u.: 0.00
# Uncorrected energy in eV for the cell shown: -18.4
data_Cd2SiAg
_chemical_formula_sum 'Cd4 Si2 Ag2'
_space_group_name_H-M_alt 'C 1 m 1'
_space_group_IT_number 8
_space_group_name_Hall 'C -2y'
_cell_length_a 9.382
_cell_length_b 2.927
_cell_length_c 6.135
_cell_angle_alpha 90.00
_cell_angle_beta 105.44
_cell_angle_gamma 90.00
loop_
_atom_site_label
_atom_site_type_symbol
_atom_site_fract_x
_atom_site_fract_y
_atom_site_fract_z
Cd1 Cd 0.000 0.000 0.000
Cd2 Cd 0.235 0.000 0.744
Si1 Si 0.498 0.000 0.439
Ag1 Ag 0.253 0.500 0.289

***

(3)
# In2OsAu (PBE, optimized geometry)
# ΔE_f in eV per formula unit: 1.1
# N(E_F) in states/eV/atom: 0.485
# Size of the total moment in μB/f.u.: 0.00
# Uncorrected energy in eV for the cell shown: -18.9
data_In2OsAu
_chemical_formula_sum 'In2 Os1 Au1'
_space_group_name_H-M_alt 'P 4/m m m'
_space_group_IT_number 123
_space_group_name_Hall '-P 4 2'
_cell_length_a 3.264
_cell_length_b 3.264
_cell_length_c 7.010
_cell_angle_alpha 90.00
_cell_angle_beta 90.00
_cell_angle_gamma 90.00
loop_
_atom_site_label
_atom_site_type_symbol
_atom_site_fract_x
_atom_site_fract_y
_atom_site_fract_z
In1 In 0.000 0.000 0.229
Os1 Os 0.500 0.500 0.000
Au1 Au 0.500 0.500 0.500

***

(4)
# AcHoRhBr (PBE, optimized geometry)
# Formation energy from raw total energies in eV per atom: -1.10
# Size of the total moment in μB/f.u.: 0.00
# Uncorrected energy in eV for the cell shown: -66.3
data_AcHoRhBr
_chemical_formula_sum 'Ac3 Ho3 Rh3 Br3'
_space_group_name_H-M_alt 'R 3 m'
_space_group_IT_number 160
_space_group_name_Hall 'R 3 -2"'
_cell_length_a 4.1402
_cell_length_b 4.1402
_cell_length_c 24.1034
_cell_angle_alpha 90.00
_cell_angle_beta 90.00
_cell_angle_gamma 120.00
loop_
_atom_site_label
_atom_site_type_symbol
_atom_site_fract_x
_atom_site_fract_y
_atom_site_fract_z
Ac1 Ac 0.0000 0.0000 0.0000
Ho1 Ho 0.0000 0.0000 0.7947
Rh1 Rh 0.0000 0.0000 0.4032
Br1 Br 0.0000 0.0000 0.2210

***

(5)
# Y4GeTe2S (PBE, optimized geometry)
# Formation energy from raw total energies in eV per atom: -1.47
# N(E_F) in states/eV/atom: 0.396
# Size of the total moment in μB/f.u.: 0.00
# Uncorrected energy in eV for the cell shown: -52.6
data_Y4GeTe2S
_chemical_formula_sum 'Y4 Ge1 Te2 S1'
_space_group_name_H-M_alt 'P 1 2/m 1'
_space_group_IT_number 10
_space_group_name_Hall '-P 2y'
_cell_length_a 7.181
_cell_length_b 4.175
_cell_length_c 7.475
_cell_angle_alpha 90.00
_cell_angle_beta 108.98
_cell_angle_gamma 90.00
loop_
_atom_site_label
_atom_site_type_symbol
_atom_site_fract_x
_atom_site_fract_y
_atom_site_fract_z
Y1 Y 0.237 0.000 0.212
Y2 Y 0.261 0.500 0.783
Ge1 Ge 0.500 0.000 0.000
Te1 Te 0.000 0.000 0.500
Te2 Te 0.500 0.500 0.500
S1 S 0.000 0.500 0.000

***

(6)
# Hf2NpNi9 (PBE, optimized geometry)
# ΔE_f in eV per formula unit: -4.2
# N(E_F) in states/eV/atom: 1.281
# Size of the total moment in μB/f.u.: 2.87
# Uncorrected energy in eV for the cell shown: -267.3
data_Hf2NpNi9
_chemical_formula_sum 'Hf6 Np3 Ni27'
_space_group_name_H-M_alt 'R -3 m'
_space_group_IT_number 166
_space_group_name_Hall '-R 3 2"'
_cell_length_a 4.8657
_cell_length_b 4.8657
_cell_length_c 23.7633
_cell_angle_alpha 90.00
_cell_angle_beta 90.00
_cell_angle_gamma 120.00
loop_
_atom_site_label
_atom_site_type_symbol
_atom_site_fract_x
_atom_site_fract_y
_atom_site_fract_z
Hf1 Hf 0.0000 0.0000 0.1398
Np1 Np 0.0000 0.0000 0.0000
Ni1 Ni 0.0000 0.0000 0.3336
Ni2 Ni 0.0000 0.0000 0.5000
Ni3 Ni 0.0044 0.5022 0.9144

***

(7)
# Li2CaTa2 (PBE, optimized geometry)
# Excess energy over the best structure of this formula in the dataset in eV per formula unit: 1.85
# ΔE_f in eV per formula unit: 5.2
# N(E_F) in states/eV/atom: 1.080
# Size of the total moment in μB/f.u.: 1.14
# Uncorrected energy in eV for the cell shown: -48.7
data_Li2CaTa2
_chemical_formula_sum 'Li4 Ca2 Ta4'
_space_group_name_H-M_alt 'I 4/m m m'
_space_group_IT_number 139
_space_group_name_Hall '-I 4 2'
_cell_length_a 4.219
_cell_length_b 4.219
_cell_length_c 13.199
_cell_angle_alpha 90.00
_cell_angle_beta 90.00
_cell_angle_gamma 90.00
loop_
_atom_site_label
_atom_site_type_symbol
_atom_site_fract_x
_atom_site_fract_y
_atom_site_fract_z
Li1 Li 0.000 0.500 0.250
Ca1 Ca 0.000 0.000 0.000
Ta1 Ta 0.000 0.000 0.411

***

(8)
# ScNiSbIr (PBE, optimized geometry)
# Formation energy from raw total energies in eV per atom: -0.51
# N(E_F) in states/eV/atom: 0.946
# Size of the total moment in μB/f.u.: 0.00
# Uncorrected energy in eV for the cell shown: -108.6
data_ScNiSbIr
_chemical_formula_sum 'Sc4 Ni4 Sb4 Ir4'
_space_group_name_H-M_alt 'F -4 3 m'
_space_group_IT_number 216
_space_group_name_Hall 'F -4 2 3'
_cell_length_a 6.413
_cell_length_b 6.413
_cell_length_c 6.413
_cell_angle_alpha 90.00
_cell_angle_beta 90.00
_cell_angle_gamma 90.00
loop_
_atom_site_label
_atom_site_type_symbol
_atom_site_fract_x
_atom_site_fract_y
_atom_site_fract_z
Sc1 Sc 0.000 0.000 0.000
Ni1 Ni 0.250 0.250 0.750
Sb1 Sb 0.000 0.000 0.500
Ir1 Ir 0.250 0.250 0.250

***

(9)
# CaAcLuCd (PBE, optimized geometry)
# ΔE_f in eV per formula unit: 0.4
# N(E_F) in states/eV/atom: 1.009
# Size of the total moment in μB/f.u.: 0.01
# Uncorrected energy in eV for the cell shown: -44.5
data_CaAcLuCd
_chemical_formula_sum 'Ca4 Ac4 Lu4 Cd4'
_space_group_name_H-M_alt 'F -4 3 m'
_space_group_IT_number 216
_space_group_name_Hall 'F -4 2 3'
_cell_length_a 8.080
_cell_length_b 8.080
_cell_length_c 8.080
_cell_angle_alpha 90.00
_cell_angle_beta 90.00
_cell_angle_gamma 90.00
loop_
_atom_site_label
_atom_site_type_symbol
_atom_site_fract_x
_atom_site_fract_y
_atom_site_fract_z
Ca1 Ca 0.000 0.000 0.000
Ac1 Ac 0.250 0.250 0.750
Lu1 Lu 0.000 0.000 0.500
Cd1 Cd 0.250 0.250 0.250

***

(10)
# LaSm3Tm2 (PBE, optimized geometry)
# Excess energy over the best structure of this formula in the dataset in eV per formula unit: 0.23
# ΔE_f in eV per formula unit: 1.9
# N(E_F) in states/eV/atom: 1.875
# Size of the total moment in μB/f.u.: 0.00
# Uncorrected energy in eV for the cell shown: -52.2
data_LaSm3Tm2
_chemical_formula_sum 'La2 Sm6 Tm4'
_space_group_name_H-M_alt 'I m m m'
_space_group_IT_number 71
_space_group_name_Hall '-I 2 2'
_cell_length_a 3.479
_cell_length_b 5.931
_cell_length_c 19.732
_cell_angle_alpha 90.00
_cell_angle_beta 90.00
_cell_angle_gamma 90.00
loop_
_atom_site_label
_atom_site_type_symbol
_atom_site_fract_x
_atom_site_fract_y
_atom_site_fract_z
La1 La 0.000 0.000 0.000
Sm1 Sm 0.000 0.000 0.193
Sm2 Sm 0.000 0.500 0.000
Tm1 Tm 0.000 0.000 0.362

***

(11)
# Zr2CdAg (PBE, optimized geometry)
# ΔE_f in eV per formula unit: -0.4
# N(E_F) in states/eV/atom: 0.778
# Size of the total moment in μB/f.u.: 0.00
# Uncorrected energy in eV for the cell shown: -42.6
data_Zr2CdAg
_chemical_formula_sum 'Zr4 Cd2 Ag2'
_space_group_name_H-M_alt 'P m m a'
_space_group_IT_number 51
_space_group_name_Hall '-P 2a 2a'
_cell_length_a 4.484
_cell_length_b 4.418
_cell_length_c 8.630
_cell_angle_alpha 90.00
_cell_angle_beta 90.00
_cell_angle_gamma 90.00
loop_
_atom_site_label
_atom_site_type_symbol
_atom_site_fract_x
_atom_site_fract_y
_atom_site_fract_z
Zr1 Zr 0.250 0.000 0.128
Zr2 Zr 0.250 0.500 0.870
Cd1 Cd 0.250 0.500 0.389
Ag1 Ag 0.250 0.000 0.619

***

(12)
# Lu2RuO (PBE, optimized geometry)
# Formation energy from raw total energies in eV per atom: -1.27
# N(E_F) in states/eV/atom: 0.123
# Size of the total moment in μB/f.u.: 0.00
# Uncorrected energy in eV for the cell shown: -28.3
data_Lu2RuO
_chemical_formula_sum 'Lu2 Ru1 O1'
_space_group_name_H-M_alt 'P 4/m m m'
_space_group_IT_number 123
_space_group_name_Hall '-P 4 2'
_cell_length_a 3.140
_cell_length_b 3.140
_cell_length_c 6.597
_cell_angle_alpha 90.00
_cell_angle_beta 90.00
_cell_angle_gamma 90.00
loop_
_atom_site_label
_atom_site_type_symbol
_atom_site_fract_x
_atom_site_fract_y
_atom_site_fract_z
Lu1 Lu 0.000 0.000 0.240
Ru1 Ru 0.500 0.500 0.500
O1 O 0.500 0.500 0.000

***

no.,density (g/cm³)
1,13.977
2,7.379
3,13.711
4,8.001
5,5.606
6,11.474
7,5.879
8,10.518
9,6.982
10,7.567
11,7.824
12,11.924